This record from Alexandria via LeMat-Bulk describes a geometry-optimized NdEr2Tc structure. The functional is PBE.

Calculated values
- space-group type = Pnma (62)
- energy relative to the elements (meV per atom) = -79
- theoretical density (Mg/m³) = 8.9
- polymorph energy (0 for the lowest one) (meV per atom) = 0
- raw total energy (eV per atom) = -6.144

CIF file:
```
data_NdEr2Tc
_space_group_name_H-M_alt 'P 1'
_space_group_IT_number 1
_space_group_name_Hall 'P 1'
_cell_length_a 6.332
_cell_length_b 7.504
_cell_length_c 9.108
_cell_angle_alpha 90.00
_cell_angle_beta 90.00
_cell_angle_gamma 90.00
loop_
_atom_site_label
_atom_site_type_symbol
_atom_site_fract_x
_atom_site_fract_y
_atom_site_fract_z
_atom_site_occupancy
Tc1 Tc 0.953 0.616 0.750 1
Er1 Er 0.843 0.325 0.564 1
Tc2 Tc 0.547 0.116 0.750 1
Nd1 Nd 0.125 0.958 0.750 1
Nd2 Nd 0.875 0.042 0.250 1
Nd3 Nd 0.625 0.542 0.250 1
Er2 Er 0.843 0.325 0.936 1
Er3 Er 0.157 0.675 0.064 1
Er4 Er 0.343 0.175 0.436 1
Er5 Er 0.657 0.825 0.936 1
Tc3 Tc 0.453 0.884 0.250 1
Er6 Er 0.657 0.825 0.564 1
Er7 Er 0.343 0.175 0.064 1
Er8 Er 0.157 0.675 0.436 1
Tc4 Tc 0.047 0.384 0.250 1
Nd4 Nd 0.375 0.458 0.750 1
```

This record from Alexandria via LeMat-Bulk describes a geometry-optimized NdEr2Tc9 structure. The functional is PBE.

Calculated values
- space-group type = R-3m (166)
- energy relative to the elements (meV per atom) = -45
- theoretical density (Mg/m³) = 10.4
- raw total energy (eV per atom) = -8.977

CIF file:
```
data_NdEr2Tc9
_space_group_name_H-M_alt 'P 1'
_space_group_IT_number 1
_space_group_name_Hall 'P 1'
_cell_length_a 5.379
_cell_length_b 5.379
_cell_length_c 9.234
_cell_angle_alpha 73.07
_cell_angle_beta 73.07
_cell_angle_gamma 60.00
loop_
_atom_site_label
_atom_site_type_symbol
_atom_site_fract_x
_atom_site_fract_y
_atom_site_fract_z
_atom_site_occupancy
Er1 Er 0.144 0.144 0.569 1
Er2 Er 0.856 0.856 0.431 1
Tc1 Tc 0.590 0.590 0.748 1
Tc2 Tc 0.590 0.073 0.748 1
Nd1 Nd 0.000 0.000 0.000 1
Tc3 Tc 0.500 0.500 0.500 1
Tc4 Tc 0.927 0.410 0.252 1
Tc5 Tc 0.410 0.927 0.252 1
Tc6 Tc 0.073 0.590 0.748 1
Tc7 Tc 0.661 0.661 0.017 1
Tc8 Tc 0.339 0.339 0.983 1
Tc9 Tc 0.410 0.410 0.252 1
```

This record from Alexandria via LeMat-Bulk describes a geometry-optimized NdEr2Tc structure. The functional is PBE.

Calculated values
- space-group type = R-3m (166)
- energy relative to the elements (meV per atom) = 181
- theoretical density (Mg/m³) = 9.3
- polymorph energy (0 for the lowest one) (meV per atom) = 260
- raw total energy (eV per atom) = -5.884

CIF file:
```
data_NdEr2Tc
_space_group_name_H-M_alt 'P 1'
_space_group_IT_number 1
_space_group_name_Hall 'P 1'
_cell_length_a 4.818
_cell_length_b 4.818
_cell_length_c 5.833
_cell_angle_alpha 65.61
_cell_angle_beta 65.61
_cell_angle_gamma 60.00
loop_
_atom_site_label
_atom_site_type_symbol
_atom_site_fract_x
_atom_site_fract_y
_atom_site_fract_z
_atom_site_occupancy
Er1 Er 0.274 0.274 0.177 1
Er2 Er 0.726 0.726 0.823 1
Nd1 Nd 0.500 0.500 0.500 1
Tc1 Tc 0.000 0.000 0.000 1
```

This record from Alexandria via LeMat-Bulk describes a geometry-optimized NdEr2Tc structure. The functional is PBE.

Calculated values
- space-group type = P4/mmm (123)
- energy relative to the elements (meV per atom) = -15
- theoretical density (Mg/m³) = 8.9
- polymorph energy (0 for the lowest one) (meV per atom) = 63
- raw total energy (eV per atom) = -6.080

CIF file:
```
data_NdEr2Tc
_space_group_name_H-M_alt 'P 1'
_space_group_IT_number 1
_space_group_name_Hall 'P 1'
_cell_length_a 3.436
_cell_length_b 3.436
_cell_length_c 9.092
_cell_angle_alpha 90.00
_cell_angle_beta 90.00
_cell_angle_gamma 90.00
loop_
_atom_site_label
_atom_site_type_symbol
_atom_site_fract_x
_atom_site_fract_y
_atom_site_fract_z
_atom_site_occupancy
Nd1 Nd 0.500 0.500 0.500 1
Er1 Er 0.000 0.000 0.180 1
Er2 Er 0.000 0.000 0.820 1
Tc1 Tc 0.500 0.500 0.000 1
```